{
  "formula": "MgTaFe2O6",
  "functional": "PBE with a Hubbard U",
  "state": "relaxed",
  "cell": [[-4.2918, 2.2785, -1.7038], [-1.9097, -1.1964, -4.6554], [-4.5983, -3.1458, -0.1886]],
  "species": ["O", "O", "O", "O", "O", "O", "Fe", "Fe", "Ta", "Mg"],
  "fractional_positions": [[0.7232, 0.1183, 0.7594], [0.1053, 0.3955, 0.7680], [0.2180, 0.9373, 0.2404], [0.9463, 0.6088, 0.2359], [0.3949, 0.7287, 0.7694], [0.6154, 0.2048, 0.2376], [0.0111, 0.0112, 0.9663], [0.5245, 0.5229, 0.4283], [0.3186, 0.3244, 0.0360], [0.8044, 0.8097, 0.5740]],
  "magnetic_moment_mub_per_atom": 0.500,
  "vol_a3_per_cell": 109,
  "dft_energy_ev_per_cell": -74.81
}